The following is a PBE+U calculation of a geometry-optimized SnWO2 structure, from Alexandria via LeMat-Bulk.

Unit cell a=4.9223 b=4.9223 c=6.9178 alpha=69.16 beta=69.16 gamma=90.00
Positions (direct):
O 0.8750 0.0129 0.7500
O 0.9871 0.6250 0.2500
O 0.7629 0.1250 0.2500
O 0.3750 0.2371 0.7500
Sn 0.2500 0.7500 0.5000
Sn 0.5000 0.5000 0.0000
W 0.7500 0.2500 0.5000
W 0.0000 0.0000 0.0000

The value obtained for the density of states at the Fermi level is 0.5 states/eV/f.u. The size of the total moment is 4.02 μB/cell. The total energy is -47.59 eV for the cell shown.